Nd2NpTlO8 after structural relaxation, computed with PBE.

## Properties
Uncorrected formation energy   -2.5136 eV per atom
Energy   -94.7 eV per cell
Total moment   0.0 μB/f.u.
Density   8.2 g cm⁻³

a b c (Å): 4.0967 7.8707 5.4548
angles (deg): 90.00 97.00 90.00
Space group P2/m (No. 10)
One atom of each set of equivalent atoms:
Nd1 0.0000 0.2445 0.0000 x2
Np1 0.5000 0.0000 0.5000 x1
Tl1 0.5000 0.5000 0.5000 x1
O1 0.0668 0.0000 0.2758 x2
O2 0.1052 0.5000 0.2391 x2
O3 0.4458 0.2039 0.7352 x4

=====

NdNpUO6 after structural relaxation, computed with PBE.

## Properties
Uncorrected formation energy   -3.0911 eV per atom
Energy   -173.1 eV per cell
Total moment   4.0 μB/f.u.
Density   8.5 g cm⁻³

a b c (Å): 5.9037 5.9037 9.3113
angles (deg): 90.00 90.00 120.00
Space group P-31c (No. 163)
One atom of each set of equivalent atoms:
Nd1 0.3333 0.6667 0.2500 x2
Np1 0.0000 0.0000 0.0000 x2
U1 0.3333 0.6667 0.7500 x2
O1 0.0304 0.3458 0.6291 x12

=====

NdNpOs4 after structural relaxation, computed with PBE.

## Properties
Energy of formation from the pure elements   -0.012 eV per atom
Energy   -250.8 eV per cell
Total moment   2.8 μB/f.u.
Density   17.2 g cm⁻³

a b c (Å): 7.6172 7.6172 7.6172
angles (deg): 90.00 90.00 90.00
Space group F-43m (No. 216)
One atom of each set of equivalent atoms:
Nd1 0.0000 0.0000 0.0000 x4
Np1 0.2500 0.2500 0.2500 x4
Os1 0.1247 0.1247 0.6247 x16

=====

Nd2NpOs2 after structural relaxation, computed with PBE.

## Properties
Energy of formation from the pure elements   -0.059 eV per atom
Energy   -180.9 eV per cell
Total moment   2.9 μB/f.u.
Density   12.7 g cm⁻³

a b c (Å): 9.9818 5.9996 8.0719
angles (deg): 90.00 100.32 90.00
Space group C2/c (No. 15)
One atom of each set of equivalent atoms:
Nd1 0.1499 0.1303 0.1512 x8
Np1 0.0000 0.3750 0.7500 x4
Os1 0.1312 0.3680 0.5074 x8

=====

Nd3NpP4 after structural relaxation, computed with PBE.

## Properties
Energy of formation from the pure elements   -1.360 eV per atom
Energy   -119.5 eV per cell
Total moment   3.5 μB/f.u.
Density   6.7 g cm⁻³

a b c (Å): 7.1263 8.2200 7.1126
angles (deg): 90.00 109.53 90.00
Space group P2/c (No. 13)
One atom of each set of equivalent atoms:
Nd1 0.0000 0.1243 0.2500 x2
Nd2 0.0000 0.3746 0.7500 x2
Nd3 0.5000 0.1246 0.7500 x2
Np1 0.5000 0.3756 0.2500 x2
P1 0.2557 0.1329 0.0085 x4
P2 0.2644 0.3822 0.4984 x4

=====

Nd4NpP5 after structural relaxation, computed with PBE.

## Properties
Energy of formation from the pure elements   -1.392 eV per atom
Energy   -146.0 eV per cell
Total moment   3.5 μB/f.u.
Density   6.5 g cm⁻³

a b c (Å): 9.2146 9.2146 5.8294
angles (deg): 90.00 90.00 90.00
Space group I4/m (No. 87)
One atom of each set of equivalent atoms:
Nd1 0.0979 0.3004 0.0000 x8
Np1 0.0000 0.0000 0.5000 x2
P1 0.0000 0.0000 0.0000 x2
P2 0.0956 0.2891 0.5000 x8

=====

- Which of these has the lowest density?
  Nd4NpP5